Entry 1:
## SiSb2Br (PBE-GGA)

Data for crystalline SiSb2Br at its relaxed geometry.

a b c (Å): 5.165 5.165 5.165
angles (deg): 60.00 60.00 60.00
Fractional positions:
Si 0.000 0.000 0.000
Sb 0.500 0.500 0.500
Sb 0.750 0.750 0.750
Br 0.250 0.250 0.250

* uncorrected formation energy: 0.374 eV per atom
* excess energy over the best structure of this formula in the dataset: 276 meV/atom
* raw total energy: -13.85 eV/cell


Entry 2:
## Ga2FeBr2 (PBE-GGA)

Data for crystalline Ga2FeBr2 at its relaxed geometry.

a b c (Å): 6.740 6.740 5.683
angles (deg): 90.00 90.00 90.00
Fractional positions:
Ga 0.211 0.289 0.000
Ga 0.289 0.789 0.000
Ga 0.711 0.211 0.000
Ga 0.789 0.711 0.000
Fe 0.000 0.000 0.500
Fe 0.500 0.500 0.500
Br 0.179 0.679 0.500
Br 0.321 0.179 0.500
Br 0.679 0.821 0.500
Br 0.821 0.321 0.500

* uncorrected formation energy: 0.170 eV per atom
* excess energy over the best structure of this formula in the dataset: 0 meV/atom
* raw total energy: -34.03 eV/cell


Entry 3:
## PrTmAlSn (PBE-GGA)

Data for crystalline PrTmAlSn at its relaxed geometry.

a b c (Å): 5.309 5.309 5.309
angles (deg): 60.00 60.00 60.00
Fractional positions:
Pr 0.000 0.000 0.000
Tm 0.500 0.500 0.500
Al 0.250 0.250 0.250
Sn 0.750 0.750 0.750

* E_form: -39.79 kJ per mole of atoms
* raw total energy: -18.65 eV/cell


Entry 4:
## YInCu2 (PBE-GGA)

Data for crystalline YInCu2 at its relaxed geometry.

a b c (Å): 5.309 5.309 5.309
angles (deg): 138.85 126.13 69.96
Fractional positions:
Y 0.000 0.000 0.000
In 0.717 0.217 0.500
Cu 0.271 0.771 0.500
Cu 0.469 0.469 0.000

* E_form: -9.72 kJ per mole of atoms
* raw total energy: -17.80 eV/cell


Entry 5:
## KHgBiS3 (PBE-GGA)

Data for crystalline KHgBiS3 at its relaxed geometry.

a b c (Å): 9.035 4.180 9.825
angles (deg): 90.00 100.00 90.00
Fractional positions:
K 0.169 0.250 0.218
K 0.831 0.750 0.782
Hg 0.118 0.250 0.606
Hg 0.882 0.750 0.394
Bi 0.352 0.750 0.867
Bi 0.648 0.250 0.133
S 0.143 0.250 0.872
S 0.198 0.750 0.488
S 0.421 0.750 0.133
S 0.579 0.250 0.867
S 0.802 0.250 0.512
S 0.857 0.750 0.128

* uncorrected formation energy: -0.536 eV per atom
* raw total energy: -41.76 eV/cell


Entry 6:
## TbNd6Tm12 (PBE-GGA)

Data for crystalline TbNd6Tm12 at its relaxed geometry.

a b c (Å): 8.612 8.612 8.612
angles (deg): 79.67 79.67 79.67
Fractional positions:
Tb 0.000 0.000 0.000
Nd 0.165 0.767 0.767
Nd 0.233 0.233 0.835
Nd 0.233 0.835 0.233
Nd 0.767 0.165 0.767
Nd 0.767 0.767 0.165
Nd 0.835 0.233 0.233
Tm 0.138 0.138 0.483
Tm 0.138 0.483 0.138
Tm 0.196 0.514 0.514
Tm 0.483 0.138 0.138
Tm 0.486 0.486 0.804
Tm 0.486 0.804 0.486
Tm 0.514 0.196 0.514
Tm 0.514 0.514 0.196
Tm 0.517 0.862 0.862
Tm 0.804 0.486 0.486
Tm 0.862 0.517 0.862
Tm 0.862 0.862 0.517

* E_form: 12.07 kJ per mole of atoms
* excess energy over the best structure of this formula in the dataset: 0 meV/atom
* raw total energy: -84.52 eV/cell


Entry 7:
## Mg2PtN2 (PBE-GGA)

Data for crystalline Mg2PtN2 at its relaxed geometry.

a b c (Å): 7.223 7.223 7.223
angles (deg): 156.31 156.31 33.75
Fractional positions:
Mg 0.134 0.134 0.000
Mg 0.866 0.866 0.000
Pt 0.500 0.500 0.000
N 0.250 0.750 0.500
N 0.750 0.250 0.500

* uncorrected formation energy: 0.290 eV per atom
* raw total energy: -24.43 eV/cell


Entry 8:
## Tb3Pm2Er6Pb (PBE-GGA)

Data for crystalline Tb3Pm2Er6Pb at its relaxed geometry.

a b c (Å): 6.082 6.082 11.690
angles (deg): 95.00 95.00 120.03
Fractional positions:
Tb 0.000 0.000 0.000
Tb 0.333 0.667 0.000
Tb 0.667 0.333 0.000
Pm 0.166 0.834 0.500
Pm 0.834 0.166 0.500
Er 0.090 0.417 0.250
Er 0.256 0.256 0.751
Er 0.417 0.090 0.250
Er 0.583 0.910 0.750
Er 0.744 0.744 0.249
Er 0.910 0.583 0.750
Pb 0.500 0.500 0.500

* E_form: -6.28 kJ per mole of atoms
* raw total energy: -55.26 eV/cell